Record 1
Entry from Alexandria: a relaxed TlNiN2 crystal (PBE-GGA).

Cell: 4.024 4.024 4.024 Å, 60.00 60.00 60.00°
Fractional positions:
N (0.250, 0.250, 0.250)
Tl (0.500, 0.500, 0.500)
N (0.750, 0.750, 0.750)
Ni (0.000, 0.000, 0.000)

Calculated values
Theoretical density ... 10.49 g/cm³
E_form (uncorrected) ... 164 kJ/mol of atoms
Offset from the most stable computed form ... 0.901 eV per atom
Calculated total energy ... -0.1655 hartree per atom
Symmetry ... Fm-3m (225)
Total magnetic moment ... 1.25 μB per cell

=====

Record 2
Entry from Alexandria: a relaxed TlNi2N crystal (PBE-GGA).

Cell: 4.217 4.217 4.217 Å, 60.00 60.00 60.00°
Fractional positions:
Ni (0.250, 0.250, 0.250)
Ni (0.750, 0.750, 0.750)
N (0.000, 0.000, 0.000)
Tl (0.500, 0.500, 0.500)

Calculated values
Theoretical density ... 10.51 g/cm³
E_form (uncorrected) ... 118 kJ/mol of atoms
Offset from the most stable computed form ... 1.043 eV per atom
Calculated total energy ... -0.1595 hartree per atom
Symmetry ... Fm-3m (225)
Total magnetic moment ... 1.64 μB per cell

=====

Record 3
Entry from Alexandria: a relaxed Y2TlNiN crystal (PBE-GGA).

Cell: 4.896 4.896 3.952 Å, 90.00 90.00 90.00°
Fractional positions:
Tl (0.500, 0.500, 0.500)
Ni (0.000, 0.000, 0.500)
Y (0.500, 0.000, 0.000)
Y (0.000, 0.500, 0.000)
N (0.000, 0.000, 0.000)

Calculated values
Theoretical density ... 7.97 g/cm³
E_form (uncorrected) ... -63 kJ/mol of atoms
Calculated total energy ... -0.2400 hartree per atom
Symmetry ... P4/mmm (123)
Total magnetic moment ... 0.00 μB per cell

=====

Record 4
Entry from Alexandria: a relaxed Tm12Ni6N crystal (PBE-GGA).

Cell: 7.650 7.650 7.650 Å, 97.50 97.50 97.50°
Fractional positions:
Tm (0.308, 0.082, 0.965)
Ni (0.300, 0.122, 0.625)
N (0.000, 0.000, 0.000)
Tm (0.427, 0.817, 0.587)
Tm (0.965, 0.308, 0.082)
Ni (0.700, 0.878, 0.375)
Tm (0.918, 0.035, 0.692)
Tm (0.413, 0.573, 0.183)
Ni (0.375, 0.700, 0.878)
Tm (0.035, 0.692, 0.918)
Ni (0.625, 0.300, 0.122)
Tm (0.692, 0.918, 0.035)
Tm (0.082, 0.965, 0.308)
Tm (0.183, 0.413, 0.573)
Tm (0.587, 0.427, 0.817)
Tm (0.817, 0.587, 0.427)
Ni (0.122, 0.625, 0.300)
Tm (0.573, 0.183, 0.413)
Ni (0.878, 0.375, 0.700)

Calculated values
Theoretical density ... 9.14 g/cm³
E_form (uncorrected) ... -37 kJ/mol of atoms
Calculated total energy ... -0.2009 hartree per atom
Symmetry ... R-3 (148)
Total magnetic moment ... 0.00 μB per cell